## Ac2MgHg7 (PBE-GGA)

Data for crystalline Ac2MgHg7 at its relaxed geometry. Values from VASP.

Cell and atoms, written as Quantum ESPRESSO input:
```
&SYSTEM
  ibrav = 0, nat = 10, ntyp = 3
/
ATOMIC_SPECIES
Ac 227.00 Ac.upf
Mg 24.30 Mg.upf
Hg 200.59 Hg.upf
ATOMIC_POSITIONS angstrom
Ac -4.392 1.469 0.332
Ac -13.177 4.406 0.995
Mg 0.000 0.000 0.000
Hg -8.785 2.937 0.663
Hg -11.015 1.385 0.239
Hg -7.627 1.894 -1.602
Hg -9.943 3.981 2.929
Hg -9.903 4.953 -0.837
Hg -7.667 0.922 2.164
Hg -6.555 4.490 1.088
CELL_PARAMETERS angstrom
-4.438 5.965 1.492
-6.527 0.903 -3.753
-6.606 -0.992 3.588
```

Its total energy is -12.61 eV/cell. As for the space-group type: Fm-3m (225). The total magnetization is 0.0000 μB/atom. As for the formation energy from the elements: -0.07 eV/atom.